The following is a DFT calculation (GGA-PBE) of a relaxed structure of BeVTc.

N(E_F), states/eV/f.u.: 3.7
ΔE to the lowest computed polymorph, meV/atom: 903
Crystal system: tetragonal
Energy relative to the elements, eV per formula unit: 2.3
Total moment, μB per atom: 0.024

The structure in CIF format:
```
data_BeVTc
_chemical_formula_sum 'Be1 V1 Tc1'
_cell_length_a 7.206
_cell_length_b 7.206
_cell_length_c 7.206
_cell_angle_alpha 160.32
_cell_angle_beta 160.32
_cell_angle_gamma 27.97
_symmetry_space_group_name_H-M 'P 1'
_symmetry_Int_Tables_number 1
_symmetry_space_group_name_Hall 'P 1'
loop_
_atom_site_label
_atom_site_type_symbol
_atom_site_fract_x
_atom_site_fract_y
_atom_site_fract_z
Be1 Be 0.000 0.000 0.000
V1 V 0.831 0.831 0.000
Tc1 Tc 0.167 0.167 0.000
```